No. 1
{"formula": "Ga3Ni12Sn", "functional": "meta-GGA SCAN", "state": "PBEsol geometry", "dos_at_fermi_per_ev_cell": 7.9, "volume_a3_per_atom": 11.326, "crystal_system": "tetragonal", "formation_enthalpy_0k_mev_per_atom": -228, "magnetic_moment_mub_per_fu": 3.4, "dft_energy_ev_per_cell": -282.7, "cell": [[3.577, 0.000, 0.000], [0.000, 3.577, 0.000], [0.000, 0.000, 14.164]], "species": ["Ga", "Ga", "Ga", "Ni", "Ni", "Ni", "Ni", "Ni", "Ni", "Ni", "Ni", "Ni", "Ni", "Ni", "Ni", "Sn"], "fractional_positions": [[0.000, 0.000, 0.256], [0.000, 0.000, 0.500], [0.000, 0.000, 0.744], [0.500, 0.500, 0.000], [0.500, 0.500, 0.255], [0.500, 0.500, 0.500], [0.500, 0.500, 0.745], [0.500, 0.000, 0.134], [0.500, 0.000, 0.378], [0.500, 0.000, 0.622], [0.500, 0.000, 0.866], [0.000, 0.500, 0.134], [0.000, 0.500, 0.378], [0.000, 0.500, 0.622], [0.000, 0.500, 0.866], [0.000, 0.000, 0.000]]}


No. 2
{"formula": "BaSc2Te", "functional": "meta-GGA SCAN", "state": "PBEsol geometry", "dos_at_fermi_per_ev_cell": 4.8, "formation_energy_uncorrected_mev_per_atom": -148.0, "volume_a3_per_atom": 27.608, "crystal_system": "tetragonal", "magnetic_moment_mub_per_fu": 0.0, "dft_energy_ev_per_cell": -105.9, "cell": [[-1.859, -3.298, 2.766], [2.548, -3.271, -2.188], [3.372, 3.966, 3.021]], "species": ["Ba", "Sc", "Sc", "Te"], "fractional_positions": [[0.000, 0.000, 0.000], [0.750, 0.250, 0.500], [0.250, 0.750, 0.500], [0.500, 0.500, 0.000]]}


No. 3
{"formula": "CdHg2Pb", "functional": "meta-GGA SCAN", "state": "PBEsol geometry", "dos_at_fermi_per_ev_cell": 1.4, "volume_a3_per_atom": 23.944, "crystal_system": "tetragonal", "formation_enthalpy_0k_mev_per_atom": 26, "magnetic_moment_mub_per_fu": 0.0, "dft_energy_ev_per_cell": -242.4, "cell": [[3.451, 0.000, 0.000], [0.000, 3.451, 0.000], [0.000, 0.000, 8.041]], "species": ["Pb", "Hg", "Hg", "Cd"], "fractional_positions": [[0.500, 0.500, 0.000], [0.000, 0.000, 0.726], [0.000, 0.000, 0.274], [0.500, 0.500, 0.500]]}


No. 4
{"formula": "GeBIO2", "functional": "meta-GGA SCAN", "state": "PBEsol geometry", "dos_at_fermi_per_ev_cell": 1.1, "formation_energy_uncorrected_mev_per_atom": 502.4, "volume_a3_per_atom": 12.874, "crystal_system": "tetragonal", "magnetic_moment_mub_per_fu": 0.0, "dft_energy_ev_per_cell": -73.2, "cell": [[3.760, 0.000, 0.000], [0.000, 3.760, 0.000], [0.000, 0.000, 4.553]], "species": ["I", "Ge", "B", "O", "O"], "fractional_positions": [[0.000, 0.000, 0.500], [0.500, 0.500, 0.500], [0.000, 0.000, 0.000], [0.000, 0.500, 0.000], [0.500, 0.000, 0.000]]}


No. 5
{"formula": "Gd2PdRu", "functional": "meta-GGA SCAN", "state": "PBEsol geometry", "dos_at_fermi_per_ev_cell": 1.9, "volume_a3_per_atom": 19.995, "crystal_system": "cubic", "formation_enthalpy_0k_mev_per_atom": -576, "magnetic_moment_mub_per_fu": 14.2, "dft_energy_ev_per_cell": -187.5, "cell": [[-3.413, 2.197, -2.630], [-0.959, -1.535, -4.485], [-4.165, -2.271, -0.939]], "species": ["Ru", "Gd", "Gd", "Pd"], "fractional_positions": [[0.500, 0.500, 0.500], [0.750, 0.750, 0.750], [0.250, 0.250, 0.250], [0.000, 0.000, 0.000]]}


No. 6
{"formula": "ScTc2", "functional": "meta-GGA SCAN", "state": "PBEsol geometry", "dos_at_fermi_per_ev_cell": 1.8, "e_above_lowest_polymorph_ev_per_atom": 0.583, "volume_a3_per_atom": 18.585, "crystal_system": "tetragonal", "formation_enthalpy_0k_mev_per_atom": 188, "magnetic_moment_mub_per_fu": 0.0, "dft_energy_ev_per_cell": -83.8, "cell": [[-3.328, 0.236, 0.963], [-0.973, -0.132, -3.331], [-0.252, -4.608, 0.256]], "species": ["Sc", "Tc", "Tc"], "fractional_positions": [[0.000, 0.000, 0.000], [0.000, 0.500, 0.500], [0.500, 0.000, 0.500]]}


Copy entry 2 word for word.
{"formula": "BaSc2Te", "functional": "meta-GGA SCAN", "state": "PBEsol geometry", "dos_at_fermi_per_ev_cell": 4.8, "formation_energy_uncorrected_mev_per_atom": -148.0, "volume_a3_per_atom": 27.608, "crystal_system": "tetragonal", "magnetic_moment_mub_per_fu": 0.0, "dft_energy_ev_per_cell": -105.9, "cell": [[-1.859, -3.298, 2.766], [2.548, -3.271, -2.188], [3.372, 3.966, 3.021]], "species": ["Ba", "Sc", "Sc", "Te"], "fractional_positions": [[0.000, 0.000, 0.000], [0.750, 0.250, 0.500], [0.250, 0.750, 0.500], [0.500, 0.500, 0.000]]}